No. 1
# GGA-PBE La2TbPr5, relaxed
# Crystal system ... orthorhombic
# Electronic total energy ... -4.785 eV/atom
data_La2TbPr5
_symmetry_space_group_name_H-M 'P 1'
_symmetry_Int_Tables_number 1
_cell_length_a 5.244
_cell_length_b 7.389
_cell_length_c 14.813
_cell_angle_alpha 90.00
_cell_angle_beta 90.00
_cell_angle_gamma 90.00
loop_
_symmetry_equiv_pos_as_xyz
'x,y,z'
loop_
_atom_site_label
_atom_site_type_symbol
_atom_site_fract_x
_atom_site_fract_y
_atom_site_fract_z
_atom_site_occupancy
La1 La 0.500 0.249 0.624 1
La2 La 0.500 0.751 0.376 1
La3 La 0.500 0.251 0.124 1
La4 La 0.500 0.749 0.876 1
Tb1 Tb 0.000 0.000 0.500 1
Tb2 Tb 0.000 0.500 0.000 1
Pr1 Pr 0.000 0.000 0.000 1
Pr2 Pr 0.000 0.500 0.500 1
Pr3 Pr 0.000 0.500 0.751 1
Pr4 Pr 0.000 0.500 0.249 1
Pr5 Pr 0.000 0.000 0.251 1
Pr6 Pr 0.000 0.000 0.749 1
Pr7 Pr 0.500 0.251 0.876 1
Pr8 Pr 0.500 0.749 0.124 1
Pr9 Pr 0.500 0.249 0.376 1
Pr10 Pr 0.500 0.751 0.624 1

=====

No. 2
# GGA-PBE CeZrTaN3, relaxed
# Crystal system ... monoclinic
# Electronic total energy ... -10.066 eV/atom
# Formation energy from raw total energies ... -1.514 eV per atom
data_CeZrTaN3
_symmetry_space_group_name_H-M 'P 1'
_symmetry_Int_Tables_number 1
_cell_length_a 3.288
_cell_length_b 5.683
_cell_length_c 8.533
_cell_angle_alpha 103.01
_cell_angle_beta 90.00
_cell_angle_gamma 90.00
loop_
_symmetry_equiv_pos_as_xyz
'x,y,z'
loop_
_atom_site_label
_atom_site_type_symbol
_atom_site_fract_x
_atom_site_fract_y
_atom_site_fract_z
_atom_site_occupancy
Ce1 Ce 0.750 0.644 0.690 1
Ce2 Ce 0.250 0.356 0.310 1
Zr1 Zr 0.250 0.767 0.049 1
Zr2 Zr 0.750 0.233 0.951 1
Ta1 Ta 0.250 0.124 0.637 1
Ta2 Ta 0.750 0.876 0.363 1
N1 N 0.250 0.752 0.489 1
N2 N 0.750 0.042 0.159 1
N3 N 0.750 0.562 0.163 1
N4 N 0.750 0.248 0.511 1
N5 N 0.250 0.438 0.837 1
N6 N 0.250 0.958 0.841 1

=====

No. 3
# GGA-PBE Pu2ZrTi, relaxed
# Crystal system ... tetragonal
# Electronic total energy ... -10.687 eV/atom
data_Pu2ZrTi
_symmetry_space_group_name_H-M 'P 1'
_symmetry_Int_Tables_number 1
_cell_length_a 5.384
_cell_length_b 3.655
_cell_length_c 3.655
_cell_angle_alpha 90.00
_cell_angle_beta 90.00
_cell_angle_gamma 90.00
loop_
_symmetry_equiv_pos_as_xyz
'x,y,z'
loop_
_atom_site_label
_atom_site_type_symbol
_atom_site_fract_x
_atom_site_fract_y
_atom_site_fract_z
_atom_site_occupancy
Ti1 Ti 0.500 0.500 0.500 1
Zr1 Zr 0.500 0.000 0.000 1
Pu1 Pu 0.000 0.000 0.500 1
Pu2 Pu 0.000 0.500 0.000 1